Here is a relaxed structure of Pm4AgAu2 from Alexandria via LeMat-Bulk. Energies are from GGA-PBE.

The energy relative to the lowest polymorph listed for this composition comes out at 0.000 eV per atom. The value obtained for the formation energy is -0.45 eV/atom.

The structure belongs to space group I-42d (No. 122); the cell edges are 9.357, 9.357 and 8.949 Å and the angles 90.00°, 90.00° and 90.00°. The asymmetric unit holds Pm at (0.066, 0.177, 0.314), Ag at (0.000, 0.000, 0.000) and Au at (0.148, 0.250, 0.625).



Here is a relaxed structure of Pm4Ag3Au5 from Alexandria via LeMat-Bulk. Energies are from GGA-PBE.

The value obtained for the formation energy is -0.21 eV/atom.

The structure belongs to space group C2/m (No. 12); the cell edges are 17.090, 5.280 and 8.640 Å and the angles 90.00°, 116.96° and 90.00°. The asymmetric unit holds Pm at (0.152, 0.000, 0.438), Pm at (0.217, 0.500, 0.813), Ag at (0.000, 0.500, 0.500), Ag at (0.171, 0.500, 0.222), Au at (0.000, 0.000, 0.500), Au at (0.090, 0.000, 0.062) and Au at (0.146, 0.000, 0.805).



For the records above, the corresponding total energy values read -4.506; -3.876 eV per atom.